Entry 1:
First-principles (PBE) data for an optimized crystal structure of ScTcAs2, as listed in the Alexandria database. Values from VASP.

The structure in Quantum ESPRESSO input format:
```
&SYSTEM
  ibrav = 0, nat = 8, ntyp = 3
/
ATOMIC_SPECIES
Sc 44.96 Sc.upf
Tc 98.00 Tc.upf
As 74.92 As.upf
ATOMIC_POSITIONS crystal
Sc 0.0000 0.0000 0.0000
Sc 0.5000 0.5000 0.5000
Tc 0.0000 0.5000 0.7500
Tc 0.5000 0.0000 0.2500
As 0.0000 0.0000 0.5000
As 0.0000 0.5000 0.2500
As 0.5000 0.0000 0.7500
As 0.5000 0.5000 0.0000
CELL_PARAMETERS angstrom
3.7909 0.0000 0.0000
0.0000 3.7909 0.0000
0.0000 0.0000 9.5161
```

---

Entry 2:
First-principles (PBE) data for an optimized crystal structure of ScTc2As, as listed in the Alexandria database. Values from VASP.

The structure in Quantum ESPRESSO input format:
```
&SYSTEM
  ibrav = 0, nat = 8, ntyp = 3
/
ATOMIC_SPECIES
Sc 44.96 Sc.upf
Tc 98.00 Tc.upf
As 74.92 As.upf
ATOMIC_POSITIONS crystal
Sc 0.0000 0.0000 0.0000
Sc 0.5000 0.5000 0.0000
Tc 0.0000 0.5000 0.2710
Tc 0.0000 0.5000 0.7290
Tc 0.5000 0.0000 0.2710
Tc 0.5000 0.0000 0.7290
As 0.0000 0.0000 0.5000
As 0.5000 0.5000 0.5000
CELL_PARAMETERS angstrom
3.2402 0.0000 0.0000
0.0000 4.9450 0.0000
0.0000 0.0000 8.2159
```

---

Entry 3:
First-principles (PBE) data for an optimized crystal structure of ScTcAs4, as listed in the Alexandria database. Values from VASP.

The structure in Quantum ESPRESSO input format:
```
&SYSTEM
  ibrav = 0, nat = 6, ntyp = 3
/
ATOMIC_SPECIES
Sc 44.96 Sc.upf
Tc 98.00 Tc.upf
As 74.92 As.upf
ATOMIC_POSITIONS crystal
Sc 0.0000 0.0000 0.0000
Tc 0.7500 0.7500 0.7500
As 0.3753 0.3753 0.3753
As 0.3753 0.3753 0.8740
As 0.3753 0.8740 0.3753
As 0.8740 0.3753 0.3753
CELL_PARAMETERS angstrom
0.0000 3.8468 3.8468
3.8468 0.0000 3.8468
3.8468 3.8468 0.0000
```

---

Entry 4:
First-principles (PBE) data for an optimized crystal structure of Sc2Tc2As, as listed in the Alexandria database. Values from VASP.

The structure in Quantum ESPRESSO input format:
```
&SYSTEM
  ibrav = 0, nat = 10, ntyp = 3
/
ATOMIC_SPECIES
Sc 44.96 Sc.upf
Tc 98.00 Tc.upf
As 74.92 As.upf
ATOMIC_POSITIONS crystal
Sc 0.1731 0.3269 0.0000
Sc 0.3269 0.8269 0.0000
Sc 0.6731 0.1731 0.0000
Sc 0.8269 0.6731 0.0000
Tc 0.1347 0.6347 0.5000
Tc 0.3653 0.1347 0.5000
Tc 0.6347 0.8653 0.5000
Tc 0.8653 0.3653 0.5000
As 0.0000 0.0000 0.5000
As 0.5000 0.5000 0.5000
CELL_PARAMETERS angstrom
6.4606 0.0000 0.0000
0.0000 6.4606 0.0000
0.0000 0.0000 4.3482
```

---

Entry 5:
First-principles (PBE) data for an optimized crystal structure of ScTcAs2, as listed in the Alexandria database. Values from VASP.

The structure in Quantum ESPRESSO input format:
```
&SYSTEM
  ibrav = 0, nat = 4, ntyp = 3
/
ATOMIC_SPECIES
Sc 44.96 Sc.upf
Tc 98.00 Tc.upf
As 74.92 As.upf
ATOMIC_POSITIONS crystal
Sc 0.0000 0.0000 0.0000
Tc 0.5000 0.5000 0.3094
As 0.0000 0.0000 0.4858
As 0.5000 0.5000 0.8220
CELL_PARAMETERS angstrom
3.3861 0.0000 0.0000
0.0000 3.4534 0.0000
0.0000 0.0000 5.9068
```

---

Entry 6:
First-principles (PBE) data for an optimized crystal structure of ScTcAs2, as listed in the Alexandria database. Values from VASP.

The structure in Quantum ESPRESSO input format:
```
&SYSTEM
  ibrav = 0, nat = 4, ntyp = 3
/
ATOMIC_SPECIES
Sc 44.96 Sc.upf
Tc 98.00 Tc.upf
As 74.92 As.upf
ATOMIC_POSITIONS crystal
Sc 0.0000 0.0000 0.0000
Tc 0.0000 0.0000 0.5000
As 0.5000 0.5000 0.2782
As 0.5000 0.5000 0.7218
CELL_PARAMETERS angstrom
3.1142 0.0000 0.0000
0.0000 3.1142 0.0000
0.0000 0.0000 6.8072
```

---

Entry 7:
First-principles (PBE) data for an optimized crystal structure of ScTc2As, as listed in the Alexandria database. Values from VASP.

The structure in Quantum ESPRESSO input format:
```
&SYSTEM
  ibrav = 0, nat = 4, ntyp = 3
/
ATOMIC_SPECIES
Sc 44.96 Sc.upf
Tc 98.00 Tc.upf
As 74.92 As.upf
ATOMIC_POSITIONS crystal
Sc 0.0000 0.0000 0.0000
Tc 0.3513 0.5000 0.7575
Tc 0.6487 0.5000 0.2425
As 0.5000 0.0000 0.5000
CELL_PARAMETERS angstrom
3.0876 0.0000 0.0000
0.0000 4.5311 0.0000
-0.1056 0.0000 4.7596
```

---

Entry 8:
First-principles (PBE) data for an optimized crystal structure of ScTc2As, as listed in the Alexandria database. Values from VASP.

The structure in Quantum ESPRESSO input format:
```
&SYSTEM
  ibrav = 0, nat = 4, ntyp = 3
/
ATOMIC_SPECIES
Sc 44.96 Sc.upf
Tc 98.00 Tc.upf
As 74.92 As.upf
ATOMIC_POSITIONS crystal
Sc 0.0000 0.0000 0.0000
Tc 0.0000 0.5000 0.5000
Tc 0.5000 0.0000 0.5000
As 0.5000 0.5000 0.0000
CELL_PARAMETERS angstrom
4.3103 0.0000 0.0000
0.0000 4.3103 0.0000
0.0000 0.0000 3.2998
```

---

Entry 9:
First-principles (PBE) data for an optimized crystal structure of ScTc3As, as listed in the Alexandria database. Values from VASP.

The structure in Quantum ESPRESSO input format:
```
&SYSTEM
  ibrav = 0, nat = 5, ntyp = 3
/
ATOMIC_SPECIES
Sc 44.96 Sc.upf
Tc 98.00 Tc.upf
As 74.92 As.upf
ATOMIC_POSITIONS crystal
Sc 0.0000 0.0000 0.0000
Tc 0.0000 0.0000 0.5000
Tc 0.0000 0.5000 0.0000
Tc 0.5000 0.0000 0.0000
As 0.5000 0.5000 0.5000
CELL_PARAMETERS angstrom
4.6191 0.0000 0.0000
0.0000 4.6191 0.0000
0.0000 0.0000 4.6191
```

---

Entry 10:
First-principles (PBE) data for an optimized crystal structure of ScTc2As2, as listed in the Alexandria database. Values from VASP.

The structure in Quantum ESPRESSO input format:
```
&SYSTEM
  ibrav = 0, nat = 10, ntyp = 3
/
ATOMIC_SPECIES
Sc 44.96 Sc.upf
Tc 98.00 Tc.upf
As 74.92 As.upf
ATOMIC_POSITIONS crystal
Sc 0.0000 0.0000 0.0000
Sc 0.5000 0.5000 0.0000
Tc 0.1433 0.3567 0.5000
Tc 0.3567 0.8567 0.5000
Tc 0.6433 0.1433 0.5000
Tc 0.8567 0.6433 0.5000
As 0.1505 0.6505 0.0000
As 0.3495 0.1505 0.0000
As 0.6505 0.8495 0.0000
As 0.8495 0.3495 0.0000
CELL_PARAMETERS angstrom
7.2445 0.0000 0.0000
0.0000 7.2445 0.0000
0.0000 0.0000 3.0642
```

---

Entry 11:
First-principles (PBE) data for an optimized crystal structure of ScTcAs, as listed in the Alexandria database. Values from VASP.

The structure in Quantum ESPRESSO input format:
```
&SYSTEM
  ibrav = 0, nat = 3, ntyp = 3
/
ATOMIC_SPECIES
Sc 44.96 Sc.upf
Tc 98.00 Tc.upf
As 74.92 As.upf
ATOMIC_POSITIONS crystal
Sc 0.0000 0.0000 0.0000
Tc 0.6667 0.3333 0.3726
As 0.3333 0.6667 0.6441
CELL_PARAMETERS angstrom
3.3368 0.0000 0.0000
-1.6684 2.8898 0.0000
0.0000 0.0000 5.6823
```

---

Entry 12:
First-principles (PBE) data for an optimized crystal structure of ScTc2As, as listed in the Alexandria database. Values from VASP.

The structure in Quantum ESPRESSO input format:
```
&SYSTEM
  ibrav = 0, nat = 16, ntyp = 3
/
ATOMIC_SPECIES
Sc 44.96 Sc.upf
Tc 98.00 Tc.upf
As 74.92 As.upf
ATOMIC_POSITIONS crystal
Sc 0.0000 0.0000 0.0000
Sc 0.0000 0.5000 0.2500
Sc 0.5000 0.0000 0.7500
Sc 0.5000 0.5000 0.5000
Tc 0.1718 0.7500 0.6250
Tc 0.2500 0.1718 0.3750
Tc 0.2500 0.3282 0.8750
Tc 0.3282 0.7500 0.1250
Tc 0.6718 0.2500 0.1250
Tc 0.7500 0.6718 0.8750
Tc 0.7500 0.8282 0.3750
Tc 0.8282 0.2500 0.6250
As 0.0000 0.0000 0.5000
As 0.0000 0.5000 0.7500
As 0.5000 0.0000 0.2500
As 0.5000 0.5000 0.0000
CELL_PARAMETERS angstrom
7.5352 0.0000 0.0000
0.0000 7.5352 0.0000
0.0000 0.0000 5.1596
```

---

Entry 13:
First-principles (PBE) data for an optimized crystal structure of ScTcAs2, as listed in the Alexandria database. Values from VASP.

The structure in Quantum ESPRESSO input format:
```
&SYSTEM
  ibrav = 0, nat = 16, ntyp = 3
/
ATOMIC_SPECIES
Sc 44.96 Sc.upf
Tc 98.00 Tc.upf
As 74.92 As.upf
ATOMIC_POSITIONS crystal
Sc 0.0000 0.0000 0.0000
Sc 0.0000 0.5000 0.5000
Sc 0.5000 0.0000 0.5000
Sc 0.5000 0.5000 0.0000
Tc 0.2500 0.2500 0.7500
Tc 0.2500 0.7500 0.2500
Tc 0.7500 0.2500 0.2500
Tc 0.7500 0.7500 0.7500
As 0.0000 0.0000 0.5000
As 0.0000 0.5000 0.0000
As 0.2500 0.2500 0.2500
As 0.2500 0.7500 0.7500
As 0.5000 0.0000 0.0000
As 0.5000 0.5000 0.5000
As 0.7500 0.2500 0.7500
As 0.7500 0.7500 0.2500
CELL_PARAMETERS angstrom
6.4508 0.0000 0.0000
0.0000 6.4508 0.0000
0.0000 0.0000 6.4508
```

---

Entry 14:
First-principles (PBE) data for an optimized crystal structure of ScTcAs, as listed in the Alexandria database. Values from VASP.

The structure in Quantum ESPRESSO input format:
```
&SYSTEM
  ibrav = 0, nat = 12, ntyp = 3
/
ATOMIC_SPECIES
Sc 44.96 Sc.upf
Tc 98.00 Tc.upf
As 74.92 As.upf
ATOMIC_POSITIONS crystal
Sc 0.0000 0.0000 0.0000
Sc 0.0000 0.5000 0.5000
Sc 0.5000 0.0000 0.5000
Sc 0.5000 0.5000 0.0000
Tc 0.0000 0.0000 0.3260
Tc 0.0000 0.5000 0.8260
Tc 0.5000 0.0000 0.8260
Tc 0.5000 0.5000 0.3260
As 0.0000 0.0000 0.6777
As 0.0000 0.5000 0.1777
As 0.5000 0.0000 0.1777
As 0.5000 0.5000 0.6777
CELL_PARAMETERS angstrom
3.4697 0.0000 0.0000
0.0000 5.0038 0.0000
0.0000 0.0000 12.0235
```

---

Entry 15:
First-principles (PBE) data for an optimized crystal structure of ScTcAs, as listed in the Alexandria database. Values from VASP.

The structure in Quantum ESPRESSO input format:
```
&SYSTEM
  ibrav = 0, nat = 12, ntyp = 3
/
ATOMIC_SPECIES
Sc 44.96 Sc.upf
Tc 98.00 Tc.upf
As 74.92 As.upf
ATOMIC_POSITIONS crystal
Sc 0.0000 0.0000 0.0000
Sc 0.0000 0.5000 0.5000
Sc 0.5000 0.0000 0.5000
Sc 0.5000 0.5000 0.0000
Tc 0.0000 0.0000 0.5000
Tc 0.0000 0.5000 0.0000
Tc 0.5000 0.0000 0.0000
Tc 0.5000 0.5000 0.5000
As 0.2500 0.2500 0.7500
As 0.2500 0.7500 0.2500
As 0.7500 0.2500 0.2500
As 0.7500 0.7500 0.7500
CELL_PARAMETERS angstrom
6.0777 0.0000 0.0000
0.0000 6.0777 0.0000
0.0000 0.0000 6.0777
```

---

Entry 16:
First-principles (PBE) data for an optimized crystal structure of ScTcAs, as listed in the Alexandria database. Values from VASP.

The structure in Quantum ESPRESSO input format:
```
&SYSTEM
  ibrav = 0, nat = 3, ntyp = 3
/
ATOMIC_SPECIES
Sc 44.96 Sc.upf
Tc 98.00 Tc.upf
As 74.92 As.upf
ATOMIC_POSITIONS crystal
Sc 0.0000 0.0000 0.0000
Tc 0.6667 0.3333 0.5000
As 0.3333 0.6667 0.5000
CELL_PARAMETERS angstrom
4.2771 0.0000 0.0000
-2.1386 3.7041 0.0000
0.0000 0.0000 3.2913
```

---

Entry 17:
First-principles (PBE) data for an optimized crystal structure of ScTcAs2, as listed in the Alexandria database. Values from VASP.

The structure in Quantum ESPRESSO input format:
```
&SYSTEM
  ibrav = 0, nat = 16, ntyp = 3
/
ATOMIC_SPECIES
Sc 44.96 Sc.upf
Tc 98.00 Tc.upf
As 74.92 As.upf
ATOMIC_POSITIONS crystal
Sc 0.0000 0.0000 0.0000
Sc 0.0000 0.5000 0.5000
Sc 0.5000 0.0000 0.5000
Sc 0.5000 0.5000 0.0000
Tc 0.0000 0.0000 0.5000
Tc 0.0000 0.5000 0.0000
Tc 0.5000 0.0000 0.0000
Tc 0.5000 0.5000 0.5000
As 0.2500 0.2500 0.2500
As 0.2500 0.2500 0.7500
As 0.2500 0.7500 0.2500
As 0.2500 0.7500 0.7500
As 0.7500 0.2500 0.2500
As 0.7500 0.2500 0.7500
As 0.7500 0.7500 0.2500
As 0.7500 0.7500 0.7500
CELL_PARAMETERS angstrom
6.4002 0.0000 0.0000
0.0000 6.4002 0.0000
0.0000 0.0000 6.4002
```

---

Entry 18:
First-principles (PBE) data for an optimized crystal structure of ScTcAs2, as listed in the Alexandria database. Values from VASP.

The structure in Quantum ESPRESSO input format:
```
&SYSTEM
  ibrav = 0, nat = 16, ntyp = 3
/
ATOMIC_SPECIES
Sc 44.96 Sc.upf
Tc 98.00 Tc.upf
As 74.92 As.upf
ATOMIC_POSITIONS crystal
Sc 0.0000 0.0000 0.0000
Sc 0.0000 0.5000 0.2500
Sc 0.5000 0.0000 0.7500
Sc 0.5000 0.5000 0.5000
Tc 0.0000 0.0000 0.5000
Tc 0.0000 0.5000 0.7500
Tc 0.5000 0.0000 0.2500
Tc 0.5000 0.5000 0.0000
As 0.2027 0.2500 0.6250
As 0.2500 0.7027 0.8750
As 0.2500 0.7973 0.3750
As 0.2973 0.2500 0.1250
As 0.7027 0.7500 0.1250
As 0.7500 0.2027 0.3750
As 0.7500 0.2973 0.8750
As 0.7973 0.7500 0.6250
CELL_PARAMETERS angstrom
5.5198 0.0000 0.0000
0.0000 5.5198 0.0000
0.0000 0.0000 12.7628
```

---

Entry 19:
First-principles (PBE) data for an optimized crystal structure of ScTc2As, as listed in the Alexandria database. Values from VASP.

The structure in Quantum ESPRESSO input format:
```
&SYSTEM
  ibrav = 0, nat = 12, ntyp = 3
/
ATOMIC_SPECIES
Sc 44.96 Sc.upf
Tc 98.00 Tc.upf
As 74.92 As.upf
ATOMIC_POSITIONS crystal
Sc 0.0000 0.0000 0.0000
Sc 0.3333 0.6667 0.6667
Sc 0.6667 0.3333 0.3333
Tc 0.0000 0.0000 0.2411
Tc 0.0000 0.0000 0.7589
Tc 0.3333 0.6667 0.4255
Tc 0.3333 0.6667 0.9078
Tc 0.6667 0.3333 0.0922
Tc 0.6667 0.3333 0.5745
As 0.0000 0.0000 0.5000
As 0.3333 0.6667 0.1667
As 0.6667 0.3333 0.8333
CELL_PARAMETERS angstrom
3.1025 0.0000 0.0000
-1.5513 2.6869 0.0000
0.0000 0.0000 23.9482
```

---

Entry 20:
First-principles (PBE) data for an optimized crystal structure of Sc3TcAs, as listed in the Alexandria database. Values from VASP.

The structure in Quantum ESPRESSO input format:
```
&SYSTEM
  ibrav = 0, nat = 5, ntyp = 3
/
ATOMIC_SPECIES
Sc 44.96 Sc.upf
Tc 98.00 Tc.upf
As 74.92 As.upf
ATOMIC_POSITIONS crystal
Sc 0.0000 0.0000 0.5000
Sc 0.0000 0.5000 0.0000
Sc 0.5000 0.0000 0.0000
Tc 0.5000 0.5000 0.5000
As 0.0000 0.0000 0.0000
CELL_PARAMETERS angstrom
4.9457 0.0000 0.0000
0.0000 4.9457 0.0000
0.0000 0.0000 4.9457
```

---

| no. | DOS(E_F) (states/eV/cell) | energy relative to the elements (kcal/mol of atoms) | size of the total moment (Bohr magnetons per cell) |
| --- | --- | --- | --- |
| 1 | 6.8 | -5.88 | 1.67 |
| 2 | 7.7 | 2.00 | 0.00 |
| 3 | 3.2 | 9.21 | 1.79 |
| 4 | 9.7 | -7.94 | 0.00 |
| 5 | 2.5 | -10.59 | 0.00 |
| 6 | 3.4 | -10.39 | 0.00 |
| 7 | 3.5 | -2.82 | 0.00 |
| 8 | 3.8 | -5.00 | 0.00 |
| 9 | 5.5 | 42.53 | 2.68 |
| 10 | 7.1 | -6.43 | 0.00 |
| 11 | 1.2 | -7.06 | 0.00 |
| 12 | 22.1 | 4.40 | 0.00 |
| 13 | 4.1 | -2.31 | 0.00 |
| 14 | 10.8 | -3.54 | 0.00 |
| 15 | 5.9 | -7.53 | 5.56 |
| 16 | 1.8 | -11.43 | 0.00 |
| 17 | 4.4 | -11.62 | 0.00 |
| 18 | 8.1 | -3.06 | 0.00 |
| 19 | 9.7 | 0.98 | 0.00 |
| 20 | 7.5 | 5.38 | 0.55 |